1.
Entry from Alexandria: a relaxed CsCoN2F crystal (GGA+U).

The structure in POSCAR format:
```
CsCoN2F
1.0
7.0575 0.0000 0.0000
0.0000 7.0575 0.0000
0.0000 0.0000 5.6925
Cs Co N F
1 1 2 1
Cartesian
0.0000 0.0000 0.0000 Cs
3.5288 3.5288 2.8462 Co
0.0000 3.5288 0.0000 N
3.5288 0.0000 0.0000 N
0.0000 0.0000 2.8462 F
```

Values from the calculation:
Offset from the most stable computed form: 161.6 kJ/mol of atoms

***

2.
Entry from Alexandria: a relaxed CsCoNF2 crystal (GGA+U).

The structure in POSCAR format:
```
CsCoNF2
1.0
5.1593 0.0000 0.0000
0.0000 5.1593 0.0000
0.0000 0.0000 4.4618
Cs Co N F
1 1 1 2
Cartesian
0.0000 0.0000 0.0000 Cs
2.5797 2.5797 2.2309 Co
0.0000 0.0000 2.2309 N
0.0000 2.5797 0.0000 F
2.5797 0.0000 0.0000 F
```

Values from the calculation:
Offset from the most stable computed form: 159.8 kJ/mol of atoms

***

3.
Entry from Alexandria: a relaxed Cs2NaCo2F7 crystal (GGA+U).

The structure in POSCAR format:
```
Cs2NaCo2F7
1.0
2.9734 -2.9735 0.0000
2.9734 2.9735 0.0000
-2.9579 0.0000 11.4636
Cs Na Co F
2 1 2 7
Cartesian
0.0116 0.0000 4.1623 Cs
2.9773 0.0000 7.3012 Cs
0.0000 0.0000 0.0000 Na
0.0147 0.0000 9.4697 Co
2.9741 0.0000 1.9939 Co
1.4882 1.4888 1.9099 F
0.0149 0.0000 7.4207 F
1.5007 1.4888 9.5537 F
2.9734 0.0000 0.0000 F
1.4882 -1.4888 1.9099 F
2.9739 0.0000 4.0429 F
1.5007 -1.4888 9.5537 F
```

***

4.
Entry from Alexandria: a relaxed CsNaCo2F8 crystal (GGA+U).

The structure in POSCAR format:
```
CsNaCo2F8
1.0
2.8426 1.6412 7.8083
-2.8426 1.6412 7.8083
0.0000 -3.2824 7.8083
Cs Na Co F
1 1 2 8
Cartesian
0.0000 0.0000 0.0000 Cs
0.0000 0.0000 11.7125 Na
0.0000 0.0000 5.6448 Co
0.0000 0.0000 17.7801 Co
-1.9387 -0.1388 10.4340 F
-0.8491 -1.7484 12.9909 F
0.0000 0.0000 7.4651 F
1.0896 -1.6095 10.4340 F
-1.0896 1.6096 12.9909 F
0.0000 0.0000 15.9599 F
0.8491 1.7484 10.4340 F
1.9387 0.1388 12.9909 F
```

***

5.
Entry from Alexandria: a relaxed Cs3NaCo2F9 crystal (GGA+U).

The structure in POSCAR format:
```
Cs3NaCo2F9
1.0
6.1663 0.0000 0.0000
-3.0831 5.3401 0.0000
0.0000 0.0000 7.5427
Cs Na Co F
3 1 2 9
Cartesian
0.0000 0.0000 0.0000 Cs
0.0000 3.5601 4.9681 Cs
3.0831 1.7800 2.5746 Cs
0.0000 0.0000 3.7714 Na
0.0000 3.5601 1.1976 Co
3.0831 1.7800 6.3452 Co
-1.5416 2.6701 0.0000 F
0.0000 1.9425 2.3035 F
-1.4009 4.3689 2.3035 F
1.6823 0.9713 5.2392 F
3.0831 0.0000 0.0000 F
1.5416 2.6701 0.0000 F
1.4009 4.3689 2.3035 F
4.4840 0.9713 5.2392 F
3.0831 3.3976 5.2392 F
```

***

6.
Entry from Alexandria: a relaxed Cs3Na3CoF8 crystal (GGA+U).

The structure in POSCAR format:
```
Cs3Na3CoF8
1.0
6.2300 -3.5932 0.0000
6.2300 3.5932 0.0000
-4.1626 0.0000 6.6040
Cs Na Co F
3 3 1 8
Cartesian
0.0000 0.0000 0.0000 Cs
3.1150 1.7966 0.0000 Cs
3.1150 -1.7966 0.0000 Cs
1.0337 1.7966 3.3020 Na
1.0337 -1.7966 3.3020 Na
4.1487 0.0000 3.3020 Na
-2.0813 0.0000 3.3020 Co
-0.2919 0.0000 4.4190 F
3.2461 2.0357 4.4293 F
5.0514 2.0357 2.1747 F
2.0726 0.0000 2.0977 F
6.2248 0.0000 4.5063 F
3.2461 -2.0357 4.4293 F
5.0514 -2.0357 2.1747 F
8.5894 0.0000 2.1850 F
```

***

7.
Entry from Alexandria: a relaxed CsNbCo2F8 crystal (GGA+U).

The structure in POSCAR format:
```
CsNbCo2F8
1.0
2.7303 1.5763 8.8206
-2.7303 1.5763 8.8206
0.0000 -3.1527 8.8206
Cs Nb Co F
1 1 2 8
Cartesian
0.0000 0.0000 0.0000 Cs
0.0000 0.0000 13.2310 Nb
0.0000 0.0000 6.3580 Co
0.0000 0.0000 20.1039 Co
-1.6940 -0.0575 11.9387 F
-0.7972 -1.4957 14.5232 F
0.0000 0.0000 8.2173 F
0.8967 -1.4383 11.9388 F
-0.8967 1.4383 14.5232 F
0.0000 0.0000 18.2447 F
0.7972 1.4958 11.9388 F
1.6940 0.0575 14.5232 F
```

***

8.
Entry from Alexandria: a relaxed CsNdCo2F8 crystal (GGA+U).

The structure in POSCAR format:
```
CsNdCo2F8
1.0
4.9413 0.0000 0.0000
-0.2840 5.1837 0.0000
-0.5500 -0.5134 8.8791
Cs Nd Co F
1 1 2 8
Cartesian
0.0000 0.0000 0.0000 Cs
-0.2750 -0.2567 4.4396 Nd
1.9113 2.4283 6.1097 Co
2.1959 2.2421 2.7695 Co
0.4622 1.2434 2.9032 F
0.6146 0.9275 6.1812 F
1.3044 3.4783 4.3494 F
1.4777 3.2991 7.7010 F
2.6295 1.3712 1.1781 F
2.8028 1.1921 4.5298 F
3.4926 3.7429 2.6980 F
3.6450 3.4270 5.9760 F
```

***

9.
Entry from Alexandria: a relaxed Cs2Co3NiF12 crystal (GGA+U).

The structure in POSCAR format:
```
Cs2Co3NiF12
1.0
3.6966 2.1342 5.9665
-3.6966 2.1342 5.9665
0.0000 -4.2685 5.9665
Cs Co Ni F
2 3 1 12
Cartesian
0.0000 0.0000 2.2518 Cs
0.0000 0.0000 15.6476 Cs
-1.8483 -1.0671 5.9665 Co
-1.8483 1.0671 11.9329 Co
0.0000 2.1342 5.9665 Co
0.0000 0.0000 8.9497 Ni
-1.4698 -0.8486 7.8424 F
0.0000 -1.6606 5.5560 F
-1.4382 0.8303 5.5560 F
0.0000 -1.6972 10.0570 F
-1.4698 0.8486 10.0570 F
-1.4382 -0.8303 12.3434 F
1.4382 0.8303 5.5560 F
1.4698 -0.8486 7.8424 F
0.0000 1.6972 7.8424 F
1.4382 -0.8303 12.3434 F
0.0000 1.6606 12.3434 F
1.4698 0.8486 10.0570 F
```

***

10.
Entry from Alexandria: a relaxed Cs2CoNi3F12 crystal (GGA+U).

The structure in POSCAR format:
```
Cs2CoNi3F12
1.0
3.6358 2.0991 6.0363
-3.6358 2.0991 6.0363
0.0000 -4.1982 6.0363
Cs Co Ni F
2 1 3 12
Cartesian
0.0000 0.0000 2.2277 Cs
0.0000 0.0000 15.8813 Cs
0.0000 0.0000 9.0545 Co
-1.8179 -1.0496 6.0363 Ni
-1.8179 1.0496 12.0727 Ni
0.0000 2.0991 6.0363 Ni
0.0000 -1.6293 5.6246 F
-1.4110 0.8146 5.6246 F
-1.4032 -0.8101 8.0119 F
0.0000 -1.6202 10.0971 F
-1.4032 0.8101 10.0971 F
-1.4110 -0.8146 12.4844 F
1.4110 0.8146 5.6246 F
1.4032 -0.8101 8.0119 F
0.0000 1.6202 8.0119 F
1.4032 0.8101 10.0971 F
1.4110 -0.8146 12.4844 F
0.0000 1.6293 12.4844 F
```

***

11.
Entry from Alexandria: a relaxed Cs2CoNiF6 crystal (GGA+U).

The structure in POSCAR format:
```
Cs2CoNiF6
1.0
-3.0237 3.0237 4.2231
3.0237 -3.0237 4.2231
3.0237 3.0237 -4.2231
Cs Co Ni F
2 1 1 6
Cartesian
3.0237 0.0000 2.1115 Cs
0.0000 3.0237 2.1115 Cs
0.0000 0.0000 0.0000 Co
0.0000 0.0000 4.2231 Ni
0.0000 0.0000 2.0551 F
1.5461 1.5461 0.0000 F
1.4776 -1.4776 4.2231 F
-1.4776 1.4776 4.2231 F
1.4776 1.4776 4.2231 F
0.0000 0.0000 6.3910 F
```

***

12.
Entry from Alexandria: a relaxed CsNpCo2F8 crystal (GGA+U).

The structure in POSCAR format:
```
CsNpCo2F8
1.0
2.8666 1.6550 7.8827
-2.8666 1.6550 7.8827
0.0000 -3.3100 7.8827
Cs Np Co F
1 1 2 8
Cartesian
0.0000 0.0000 0.0000 Cs
0.0000 0.0000 11.8240 Np
0.0000 0.0000 6.0112 Co
0.0000 0.0000 17.6368 Co
-1.0569 -1.5731 10.5323 F
-1.8908 0.1288 13.1157 F
0.0000 0.0000 7.8741 F
-0.8339 1.7019 10.5324 F
0.8339 -1.7019 13.1157 F
0.0000 0.0000 15.7740 F
1.8908 -0.1288 10.5324 F
1.0569 1.5731 13.1157 F
```

***

13.
Entry from Alexandria: a relaxed CsNpCoF6 crystal (GGA+U).

The structure in POSCAR format:
```
CsNpCoF6
1.0
-3.9261 4.2169 5.5843
3.9261 -4.2169 5.5843
3.9261 4.2169 -5.5843
Cs Np Co F
2 2 2 12
Cartesian
0.0000 2.1085 0.6440 Cs
3.9261 2.1085 4.9404 Cs
3.9261 0.0000 0.0000 Np
0.0000 0.0000 5.5843 Np
1.9630 2.1085 -2.7922 Co
1.9630 -2.1085 2.7922 Co
3.9261 -2.1085 3.1754 F
2.1776 -0.6421 1.2978 F
5.6746 -0.6421 1.2978 F
2.1776 3.5749 -1.2978 F
1.7485 -0.6421 4.2865 F
3.9261 2.1085 1.0089 F
0.0000 2.1085 4.5755 F
2.1776 4.8590 1.2978 F
1.7485 0.6421 6.8822 F
-1.7485 4.8590 4.2865 F
1.7485 4.8590 4.2865 F
0.0000 6.3254 2.4090 F
```

***

14.
Entry from Alexandria: a relaxed Cs2CoOF6 crystal (GGA+U).

The structure in POSCAR format:
```
Cs2CoOF6
1.0
-3.1072 3.1072 4.9334
3.1072 -3.1072 4.9334
3.1072 3.1072 -4.9334
Cs Co O F
2 1 1 6
Cartesian
3.1072 0.0000 2.4667 Cs
0.0000 3.1072 2.4667 Cs
0.0000 0.0000 0.0000 Co
0.0000 0.0000 4.9334 O
0.0000 0.0000 1.8938 F
1.2973 1.2973 0.0000 F
1.8099 -1.8099 4.9334 F
-1.8099 1.8099 4.9334 F
1.8099 1.8099 4.9334 F
0.0000 0.0000 7.9731 F
```

***

15.
Entry from Alexandria: a relaxed CsTiCoOF5 crystal (GGA+U).

The structure in POSCAR format:
```
CsTiCoOF5
1.0
7.4390 0.0000 0.0000
0.0000 7.4268 0.0000
-0.0178 0.0000 10.6355
Cs Ti Co O F
4 4 4 4 20
Cartesian
-0.0002 1.8567 4.0130 Cs
3.6922 1.8567 1.3100 Cs
3.7290 5.5701 9.3256 Cs
7.4213 5.5701 6.6225 Cs
1.6842 5.5701 2.7074 Ti
2.0177 1.8567 8.0246 Ti
5.4035 5.5701 2.6109 Ti
5.7370 1.8567 7.9282 Ti
0.0000 0.0000 0.0000 Co
0.0000 3.7134 0.0000 Co
3.7106 0.0000 5.3178 Co
3.7106 3.7134 5.3178 Co
0.0121 5.5701 3.1445 O
3.6906 1.8567 8.4602 O
3.7306 5.5701 2.1754 O
7.4091 1.8567 7.4911 O
0.0304 1.8567 0.7773 F
1.5115 0.4645 9.3009 F
1.5115 3.2489 9.3009 F
1.5314 4.1882 1.3296 F
1.5314 6.9519 1.3296 F
2.1718 0.4753 6.6462 F
2.1718 3.2380 6.6462 F
2.1875 4.1764 3.9841 F
2.1875 6.9638 3.9841 F
3.7057 1.8567 4.5404 F
3.7155 5.5701 6.0952 F
5.2336 0.4630 6.6515 F
5.2336 3.2504 6.6515 F
5.2494 4.1887 3.9893 F
5.2494 6.9514 3.9893 F
5.8897 0.4748 9.3060 F
5.8897 3.2385 9.3060 F
5.9097 4.1779 1.3346 F
5.9097 6.9623 1.3346 F
7.3907 5.5701 9.8582 F
```

Values from the calculation:
Offset from the most stable computed form: 0.0 kJ/mol of atoms

***

16.
Entry from Alexandria: a relaxed CsTiCoOF5 crystal (GGA+U).

The structure in POSCAR format:
```
CsTiCoOF5
1.0
-3.6458 3.7293 5.3535
3.6458 -3.7293 5.3535
3.6458 3.7293 -5.3535
Cs Ti Co O F
2 2 2 2 10
Cartesian
0.0000 1.8646 1.2779 Cs
3.6458 1.8646 4.0756 Cs
1.8229 1.8646 -2.6768 Ti
1.8229 -1.8646 2.6768 Ti
3.6458 0.0000 0.0000 Co
0.0000 0.0000 5.3535 Co
3.6458 -1.8646 3.0977 O
0.0000 5.5939 2.2558 O
2.1170 -0.4727 1.3300 F
5.1745 -0.4727 1.3300 F
2.1170 3.2566 -1.3300 F
1.5287 -0.4727 4.0235 F
3.6458 1.8646 0.7687 F
0.0000 1.8646 4.5849 F
2.1170 4.2020 1.3300 F
1.5287 0.4727 6.6836 F
-1.5287 4.2020 4.0235 F
1.5287 4.2020 4.0235 F
```

Values from the calculation:
Offset from the most stable computed form: 0.6 kJ/mol of atoms

***

17.
Entry from Alexandria: a relaxed CsPaCo2F8 crystal (GGA+U).

The structure in POSCAR format:
```
CsPaCo2F8
1.0
2.7877 1.6095 8.1183
-2.7877 1.6095 8.1183
0.0000 -3.2190 8.1183
Cs Pa Co F
1 1 2 8
Cartesian
0.0000 0.0000 0.0000 Cs
0.0000 0.0000 12.1775 Pa
0.0000 0.0000 6.4683 Co
0.0000 0.0000 17.8867 Co
-1.0614 -1.4841 10.9237 F
-1.8160 0.1772 13.4313 F
0.0000 0.0000 8.3336 F
-0.7545 1.6613 10.9237 F
0.7545 -1.6613 13.4313 F
0.0000 0.0000 16.0214 F
1.8160 -0.1772 10.9237 F
1.0614 1.4841 13.4313 F
```

***

18.
Entry from Alexandria: a relaxed Cs2CoPbF6 crystal (GGA+U).

The structure in POSCAR format:
```
Cs2CoPbF6
1.0
-3.2055 3.2055 4.6270
3.2055 -3.2055 4.6270
3.2055 3.2055 -4.6270
Cs Co Pb F
2 1 1 6
Cartesian
3.2055 0.0000 2.3135 Cs
0.0000 3.2055 2.3135 Cs
0.0000 0.0000 0.0000 Co
0.0000 0.0000 4.6270 Pb
1.4523 1.4523 0.0000 F
1.7532 -1.7532 4.6270 F
0.0000 0.0000 2.1711 F
0.0000 0.0000 7.0830 F
-1.7532 1.7532 4.6270 F
1.7532 1.7532 4.6270 F
```

***

19.
Entry from Alexandria: a relaxed Cs2CoPdF6 crystal (GGA+U).

The structure in POSCAR format:
```
Cs2CoPdF6
1.0
-3.0859 3.0859 4.4412
3.0859 -3.0859 4.4412
3.0859 3.0859 -4.4412
Cs Co Pd F
2 1 1 6
Cartesian
3.0859 0.0000 2.2206 Cs
0.0000 3.0859 2.2206 Cs
0.0000 0.0000 0.0000 Co
0.0000 0.0000 4.4412 Pd
1.4655 1.4655 0.0000 F
1.6204 -1.6204 4.4412 F
0.0000 0.0000 2.1780 F
0.0000 0.0000 6.7044 F
-1.6204 1.6204 4.4412 F
1.6204 1.6204 4.4412 F
```

Values from the calculation:
Offset from the most stable computed form: 4.8 kJ/mol of atoms

***

| no. | E (eV per atom) |
| --- | --- |
| 1 | -2.94 |
| 2 | -2.89 |
| 3 | -4.61 |
| 4 | -4.42 |
| 5 | -4.48 |
| 6 | -4.29 |
| 7 | -5.33 |
| 8 | -5.36 |
| 9 | -4.60 |
| 10 | -4.28 |
| 11 | -4.35 |
| 12 | -5.84 |
| 13 | -6.19 |
| 14 | -4.04 |
| 15 | -5.97 |
| 16 | -5.96 |
| 17 | -5.61 |
| 18 | -4.64 |
| 19 | -4.37 |